Model one:
# InGaRh3 (GGA-PBE, optimized geometry)
# - Total magnetic moment: 1.0 Bohr magnetons per cell
data_InGaRh3
_chemical_formula_sum 'In1 Ga1 Rh3'
_cell_length_a 4.543
_cell_length_b 4.543
_cell_length_c 4.543
_cell_angle_alpha 90.00
_cell_angle_beta 90.00
_cell_angle_gamma 90.00
_space_group_name_H-M_alt 'P m -3 m'
_space_group_IT_number 221
_space_group_name_Hall '-P 4 2 3'
loop_
_atom_site_label
_atom_site_type_symbol
_atom_site_fract_x
_atom_site_fract_y
_atom_site_fract_z
_atom_site_occupancy
In1 In 0.000 0.000 0.000 1
Ga1 Ga 0.500 0.500 0.500 1
Rh1 Rh 0.000 0.500 0.500 1

Model two:
# InGaRh3 (GGA-PBE, optimized geometry)
# - Total magnetic moment: 0.0 Bohr magnetons per cell
data_InGaRh3
_chemical_formula_sum 'In8 Ga8 Rh24'
_cell_length_a 10.074
_cell_length_b 8.386
_cell_length_c 7.980
_cell_angle_alpha 90.00
_cell_angle_beta 90.00
_cell_angle_gamma 90.00
_space_group_name_H-M_alt 'C m c m'
_space_group_IT_number 63
_space_group_name_Hall '-C 2c 2'
loop_
_atom_site_label
_atom_site_type_symbol
_atom_site_fract_x
_atom_site_fract_y
_atom_site_fract_z
_atom_site_occupancy
In1 In 0.000 0.026 0.250 1
In2 In 0.000 0.356 0.750 1
Ga1 Ga 0.192 0.323 0.250 1
Rh1 Rh 0.135 0.166 0.512 1
Rh2 Rh 0.138 0.500 0.000 1

Short version: model one is the least stable of them.

Model one:
# InGaRu3 (GGA-PBE, optimized geometry)
# - Total magnetic moment: 4.0 Bohr magnetons per cell
data_InGaRu3
_chemical_formula_sum 'In1 Ga1 Ru3'
_cell_length_a 4.862
_cell_length_b 4.862
_cell_length_c 4.862
_cell_angle_alpha 90.00
_cell_angle_beta 90.00
_cell_angle_gamma 90.00
_space_group_name_H-M_alt 'P m -3 m'
_space_group_IT_number 221
_space_group_name_Hall '-P 4 2 3'
loop_
_atom_site_label
_atom_site_type_symbol
_atom_site_fract_x
_atom_site_fract_y
_atom_site_fract_z
_atom_site_occupancy
In1 In 0.000 0.000 0.000 1
Ga1 Ga 0.500 0.500 0.500 1
Ru1 Ru 0.000 0.000 0.500 1

Model two:
# InGaRu3 (GGA-PBE, optimized geometry)
# - Total magnetic moment: 2.2 Bohr magnetons per cell
data_InGaRu3
_chemical_formula_sum 'In1 Ga1 Ru3'
_cell_length_a 4.547
_cell_length_b 4.547
_cell_length_c 4.547
_cell_angle_alpha 90.00
_cell_angle_beta 90.00
_cell_angle_gamma 90.00
_space_group_name_H-M_alt 'P m -3 m'
_space_group_IT_number 221
_space_group_name_Hall '-P 4 2 3'
loop_
_atom_site_label
_atom_site_type_symbol
_atom_site_fract_x
_atom_site_fract_y
_atom_site_fract_z
_atom_site_occupancy
In1 In 0.000 0.000 0.000 1
Ga1 Ga 0.500 0.500 0.500 1
Ru1 Ru 0.000 0.500 0.500 1

Short version: model one is the least stable of them.

Model one:
# InGa2Ru2 (GGA-PBE, optimized geometry)
# - Total magnetic moment: 0.0 Bohr magnetons per cell
data_InGa2Ru2
_chemical_formula_sum 'In2 Ga4 Ru4'
_cell_length_a 7.128
_cell_length_b 7.128
_cell_length_c 3.164
_cell_angle_alpha 90.00
_cell_angle_beta 90.00
_cell_angle_gamma 90.00
_space_group_name_H-M_alt 'P 4/m b m'
_space_group_IT_number 127
_space_group_name_Hall '-P 4 2ab'
loop_
_atom_site_label
_atom_site_type_symbol
_atom_site_fract_x
_atom_site_fract_y
_atom_site_fract_z
_atom_site_occupancy
In1 In 0.000 0.000 0.000 1
Ga1 Ga 0.145 0.355 0.500 1
Ru1 Ru 0.150 0.650 0.000 1

Model two:
# InGa2Ru2 (GGA-PBE, optimized geometry)
# - Total magnetic moment: 0.0 Bohr magnetons per cell
data_InGa2Ru2
_chemical_formula_sum 'In2 Ga4 Ru4'
_cell_length_a 7.200
_cell_length_b 7.200
_cell_length_c 3.015
_cell_angle_alpha 90.00
_cell_angle_beta 90.00
_cell_angle_gamma 90.00
_space_group_name_H-M_alt 'P 4/m b m'
_space_group_IT_number 127
_space_group_name_Hall '-P 4 2ab'
loop_
_atom_site_label
_atom_site_type_symbol
_atom_site_fract_x
_atom_site_fract_y
_atom_site_fract_z
_atom_site_occupancy
In1 In 0.000 0.000 0.000 1
Ga1 Ga 0.130 0.370 0.000 1
Ru1 Ru 0.165 0.665 0.500 1

Short version: model two is the least stable of them.

Model one:
# InGaTe2Ru (GGA-PBE, optimized geometry)
# - Total magnetic moment: 2.8 Bohr magnetons per cell
data_InGaTe2Ru
_chemical_formula_sum 'In1 Ga1 Te2 Ru1'
_cell_length_a 5.730
_cell_length_b 5.730
_cell_length_c 5.052
_cell_angle_alpha 90.00
_cell_angle_beta 90.00
_cell_angle_gamma 90.00
_space_group_name_H-M_alt 'P 4/m m m'
_space_group_IT_number 123
_space_group_name_Hall '-P 4 2'
loop_
_atom_site_label
_atom_site_type_symbol
_atom_site_fract_x
_atom_site_fract_y
_atom_site_fract_z
_atom_site_occupancy
In1 In 0.000 0.000 0.000 1
Ga1 Ga 0.000 0.000 0.500 1
Te1 Te 0.000 0.500 0.000 1
Ru1 Ru 0.500 0.500 0.500 1

Model two:
# InGaTe2Ru (GGA-PBE, optimized geometry)
# - Total magnetic moment: 2.7 Bohr magnetons per cell
data_InGaTe2Ru
_chemical_formula_sum 'In1 Ga1 Te2 Ru1'
_cell_length_a 5.439
_cell_length_b 5.439
_cell_length_c 5.076
_cell_angle_alpha 90.00
_cell_angle_beta 90.00
_cell_angle_gamma 90.00
_space_group_name_H-M_alt 'P 4/m m m'
_space_group_IT_number 123
_space_group_name_Hall '-P 4 2'
loop_
_atom_site_label
_atom_site_type_symbol
_atom_site_fract_x
_atom_site_fract_y
_atom_site_fract_z
_atom_site_occupancy
In1 In 0.000 0.000 0.000 1
Ga1 Ga 0.000 0.000 0.500 1
Te1 Te 0.000 0.500 0.500 1
Ru1 Ru 0.500 0.500 0.000 1

Short version: model one is the least stable of them.

Model one:
# In2Ga2S (GGA-PBE, optimized geometry)
# - Total magnetic moment: 0.0 Bohr magnetons per cell
data_In2Ga2S
_chemical_formula_sum 'In4 Ga4 S2'
_cell_length_a 7.628
_cell_length_b 7.628
_cell_length_c 4.085
_cell_angle_alpha 90.00
_cell_angle_beta 90.00
_cell_angle_gamma 90.00
_space_group_name_H-M_alt 'P 4/m b m'
_space_group_IT_number 127
_space_group_name_Hall '-P 4 2ab'
loop_
_atom_site_label
_atom_site_type_symbol
_atom_site_fract_x
_atom_site_fract_y
_atom_site_fract_z
_atom_site_occupancy
In1 In 0.177 0.323 0.000 1
Ga1 Ga 0.127 0.627 0.500 1
S1 S 0.000 0.000 0.000 1

Model two:
# In2Ga2S (GGA-PBE, optimized geometry)
# - Total magnetic moment: 0.0 Bohr magnetons per cell
data_In2Ga2S
_chemical_formula_sum 'In4 Ga4 S2'
_cell_length_a 6.969
_cell_length_b 6.969
_cell_length_c 4.809
_cell_angle_alpha 90.00
_cell_angle_beta 90.00
_cell_angle_gamma 90.00
_space_group_name_H-M_alt 'P 4/m b m'
_space_group_IT_number 127
_space_group_name_Hall '-P 4 2ab'
loop_
_atom_site_label
_atom_site_type_symbol
_atom_site_fract_x
_atom_site_fract_y
_atom_site_fract_z
_atom_site_occupancy
In1 In 0.170 0.330 0.000 1
Ga1 Ga 0.143 0.643 0.500 1
S1 S 0.000 0.000 0.500 1

Short version: model one is the least stable of them.

Model one:
# InGaS (GGA-PBE, optimized geometry)
# - Total magnetic moment: 0.0 Bohr magnetons per cell
data_InGaS
_chemical_formula_sum 'In1 Ga1 S1'
_cell_length_a 3.8203
_cell_length_b 3.8203
_cell_length_c 5.4689
_cell_angle_alpha 90.00
_cell_angle_beta 90.00
_cell_angle_gamma 120.00
_space_group_name_H-M_alt 'P 3 m 1'
_space_group_IT_number 156
loop_
_space_group_symop_operation_xyz
'x,y,z'
'-y,x-y,z'
'-x+y,-x,z'
'-y,-x,z'
'-x+y,y,z'
'x,x-y,z'
loop_
_atom_site_label
_atom_site_type_symbol
_atom_site_fract_x
_atom_site_fract_y
_atom_site_fract_z
_atom_site_occupancy
In1 In 0.0000 0.0000 0.0000 1
Ga1 Ga 0.6667 0.3333 0.3962 1
S1 S 0.3333 0.6667 0.6514 1

Model two:
# InGaS (GGA-PBE, optimized geometry)
# - Total magnetic moment: 0.0 Bohr magnetons per cell
data_InGaS
_chemical_formula_sum 'In4 Ga4 S4'
_cell_length_a 6.543
_cell_length_b 6.203
_cell_length_c 7.568
_cell_angle_alpha 90.00
_cell_angle_beta 109.49
_cell_angle_gamma 90.00
_space_group_name_H-M_alt 'P 1 21/c 1'
_space_group_IT_number 14
loop_
_space_group_symop_operation_xyz
'x,y,z'
'-x,-y,-z'
'-x,y+1/2,-z+1/2'
'x,-y+1/2,z+1/2'
loop_
_atom_site_label
_atom_site_type_symbol
_atom_site_fract_x
_atom_site_fract_y
_atom_site_fract_z
_atom_site_occupancy
In1 In 0.156 0.230 0.458 1
Ga1 Ga 0.428 0.639 0.173 1
S1 S 0.186 0.652 0.380 1

Short version: model two is the least stable of them.